The following is a PBE with a Hubbard U calculation of Na2CrSO6 after structural relaxation, from Alexandria via LeMat-Bulk.

Properties
Space group ... P-3m1 (164)
Density of states at the Fermi level ... 0.38 states/eV per cell
E_tot ... -5.688 eV per atom

a = 5.045 Å, b = 5.583 Å, c = 5.583 Å
α = 120.00°, β = 90.00°, γ = 90.00°
Each line ends with the local moment (μB).
Atoms (fractional coordinates):
Na: 0.089 0.333 0.667  0.00
Na: 0.911 0.667 0.333  0.00
Cr: 0.500 0.000 0.000  3.00
S: 0.000 0.000 0.000  0.01
O: 0.800 0.139 0.277  0.12
O: 0.800 0.139 0.861  0.12
O: 0.800 0.723 0.861  0.12
O: 0.200 0.861 0.139  0.12
O: 0.200 0.277 0.139  0.12
O: 0.200 0.861 0.723  0.12